# Er2ThOs2 | the Alexandria database | PBE-GGA | optimized geometry
# - size of the total moment (Bohr magnetons per cell) = 0.00
# - DOS(E_F) (states/eV/atom) = 0.666
# - energy above the most stable polymorph in this dataset (meV/atom) = 95.0
# - DFT formation energy (eV per atom) = -0.19
data_Er2ThOs2
_cell_length_a 4.391
_cell_length_b 5.557
_cell_length_c 11.445
_cell_angle_alpha 115.33
_cell_angle_beta 90.00
_cell_angle_gamma 90.00
_symmetry_space_group_name_H-M 'P 1'
_symmetry_Int_Tables_number 1
_symmetry_space_group_name_Hall 'P 1'
loop_
_atom_site_label
_atom_site_fract_x
_atom_site_fract_y
_atom_site_fract_z
Os1 0.750 0.104 0.354
Er1 0.750 0.711 0.468
Er2 0.250 0.289 0.532
Er3 0.750 0.225 0.123
Th1 0.750 0.179 0.795
Os2 0.250 0.335 0.985
Os3 0.750 0.665 0.015
Er4 0.250 0.775 0.877
Os4 0.250 0.896 0.646
Th2 0.250 0.821 0.205